A plane-wave DFT calculation with PBE was carried out for a relaxed In6Si7 crystal.

extended XYZ file:
```
13
Lattice="2.736 1.580 10.734 -2.736 1.580 10.734 0.000 -3.159 10.734" Properties=species:S:1:pos:R:3 pbc="T T T"
In 0.000 0.000 1.605
In 0.000 0.000 4.792
In 0.000 0.000 10.195
In 0.000 0.000 22.006
In 0.000 0.000 27.409
In 0.000 0.000 30.596
Si -1.386 -0.800 14.049
Si 0.000 -1.600 18.152
Si -1.386 0.800 18.152
Si 0.000 0.000 16.100
Si 1.386 -0.800 14.049
Si 0.000 1.600 14.049
Si 1.386 0.800 18.152
```

Computed properties:
* size of the total moment: 0.00 μB/atom
* crystal system: trigonal
* total energy: -3.759 eV per atom
* ΔE_f (raw): 41.0 kJ/mol of atoms